Below is crystalline YHfSbI2 at its relaxed geometry, with properties calculated at the GGA-PBE level.

POSCAR file:
```
YHfSbI2
1.0
-5.102 1.824 -1.894
-2.445 -1.768 4.882
1.036 5.507 2.513
I Sb Hf Y
2 1 1 1
direct
0.000 0.500 0.000
0.500 0.000 0.000
0.000 0.000 0.500
0.500 0.500 0.500
0.000 0.000 0.000
```

## Properties
- Symmetry: P4/mmm, No. 123
- Raw formation energy: 0.3467 eV per atom
- Magnetization: 1.1 μB/cell
- Offset from the most stable computed form: 337.8 meV per atom